#i
Density functional theory data (PBE) for AcPr3Tm after structural relaxation.

Summary:
Symmetry ... C2/m

```
10
Lattice="-3.734 0.496 0.205 -3.077 -10.490 4.028 0.574 0.667 8.779" Properties=species:S:1:pos:R:3 pbc="T T T"
Pr -2.836 -1.716 6.843
Pr -1.467 -5.216 5.660
Pr -3.704 -6.682 3.116
Pr -1.173 -0.916 0.608
Pr -3.458 -6.978 8.294
Pr -0.845 0.046 4.209
Tm -5.681 -8.304 5.731
Tm -5.434 -8.621 11.005
Ac -3.176 -2.780 3.312
Ac -1.127 -4.151 9.191
```

---

#ii
Density functional theory data (PBE) for AcPr3Tm after structural relaxation.

Summary:
Symmetry ... Cmcm

```
10
Lattice="8.086 2.793 0.000 1.929 8.334 0.000 0.000 0.000 6.274" Properties=species:S:1:pos:R:3 pbc="T T T"
Ac 7.977 8.863 4.706
Ac 2.038 2.264 1.569
Pr 5.273 3.428 1.569
Pr 2.855 5.604 1.569
Pr 7.159 5.523 4.706
Pr 4.741 7.700 4.706
Pr 0.000 0.000 3.137
Pr 0.000 0.000 0.000
Tm 3.554 3.949 4.706
Tm 6.461 7.179 1.569
```

---

What is the stability order? It is #i, #ii, from most stable to least stable.